A plane-wave DFT calculation with PBE was carried out for a relaxed structure of Rb3Er3ScTe8.

The space group is C2/m (No. 12) and the conventional cell measures 15.014, 8.671 and 10.192 Å, with angles of 90.00, 119.38 and 90.00 degrees. The asymmetric unit holds Rb at (0.000, 0.000, 0.000), Rb at (0.250, 0.250, 0.000), Er at (0.000, 0.500, 0.500), Er at (0.250, 0.250, 0.500), Sc at (0.000, 0.000, 0.500), Te at (0.017, 0.244, 0.306), Te at (0.227, 0.000, 0.694) and Te at (0.233, 0.500, 0.699).

Its uncorrected formation energy is -1.2733 eV/atom. The total energy comes out at -134.31 eV per cell. The magnetization is 0.0 Bohr magnetons per cell.